Compound: Ti12Ga6Ir
Source: Alexandria via LeMat-Bulk
Functional: GGA-PBE
Structure: optimized geometry

Lattice parameters (Å, degrees): 6.7665 6.7665 6.7665 89.82 89.82 89.82
Atoms (fractional coordinates):
Ti  0.4790  0.5597  0.1945
Ti  0.3766  0.0508  0.1438
Ga  0.7397  0.2697  0.1205
Ga  0.8795  0.2603  0.7303
Ga  0.1205  0.7397  0.2697
Ti  0.4403  0.8055  0.5210
Ga  0.7303  0.8795  0.2603
Ti  0.6234  0.9492  0.8562
Ti  0.9492  0.8562  0.6234
Ti  0.5597  0.1945  0.4790
Ga  0.2603  0.7303  0.8795
Ti  0.0508  0.1438  0.3766
Ir  0.0000  0.0000  0.0000
Ti  0.5210  0.4403  0.8055
Ti  0.8562  0.6234  0.9492
Ti  0.1438  0.3766  0.0508
Ga  0.2697  0.1205  0.7397
Ti  0.8055  0.5210  0.4403
Ti  0.1945  0.4790  0.5597

Summary:
- space group = No. 148
- formation energy from the elements (meV/atom) = -311
- size of the total moment (μB per formula unit) = 0.00
- D(E_F) (states/eV/atom) = 1.136

Compound: BaCd2Br2
Source: Alexandria via LeMat-Bulk
Functional: GGA-PBE
Structure: optimized geometry

Lattice parameters (Å, degrees): 4.1463 4.1463 10.8292 78.96 78.96 90.00
Atoms (fractional coordinates):
Ba  0.0000  0.0000  0.0000
Cd  0.7500  0.2500  0.5000
Br  0.4153  0.4153  0.1693
Br  0.5847  0.5847  0.8307
Cd  0.2500  0.7500  0.5000

Summary:
- space group = No. 139
- E_form (uncorrected) (meV/atom) = -1062
- size of the total moment (μB per formula unit) = 0.00
- D(E_F) (states/eV/atom) = 0.253

Compound: La3TbNd4Se8
Source: Alexandria via LeMat-Bulk
Functional: GGA-PBE
Structure: optimized geometry

Lattice parameters (Å, degrees): 8.5033 8.4842 8.5019 120.06 120.01 90.00
Atoms (fractional coordinates):
Se  0.2484  0.2453  0.4968
Nd  0.5000  0.0000  0.5000
Nd  0.5000  0.0000  0.0000
Se  0.7546  0.2517  0.5093
Se  0.7576  0.7483  0.0030
Nd  0.0000  0.0000  0.5000
La  0.0000  0.5000  0.5000
La  0.5000  0.5000  0.5000
Se  0.2454  0.7483  0.0030
Se  0.2424  0.2517  0.9970
Tb  0.0000  0.5000  0.0000
La  0.5000  0.5000  0.0000
Se  0.7516  0.7547  0.5032
Se  0.2454  0.7483  0.4907
Se  0.7546  0.2517  0.9970
Nd  0.0000  0.0000  0.0000

Summary:
- space group = No. 166
- E_form (uncorrected) (meV/atom) = -1887
- size of the total moment (μB per formula unit) = 0.00
- D(E_F) (states/eV/atom) = 0.651

Compound: Tl5GaO4
Source: Alexandria via LeMat-Bulk
Functional: GGA-PBE
Structure: optimized geometry

Lattice parameters (Å, degrees): 3.3498 7.6724 8.5065 101.51 101.36 90.00
Atoms (fractional coordinates):
Tl  0.8518  0.1653  0.7036
Tl  0.5000  0.5000  0.0000
O  0.0004  0.1808  0.0009
Tl  0.1522  0.2972  0.3044
O  0.9996  0.8192  0.9991
O  0.6207  0.0518  0.2414
Tl  0.8478  0.7028  0.6956
Ga  0.5000  0.0000  0.0000
Tl  0.1482  0.8347  0.2964
O  0.3793  0.9482  0.7586

Summary:
- space group = No. 12
- energy above the lowest structure with this stoichiometry (meV/atom) = 21
- E_form (uncorrected) (meV/atom) = -836
- size of the total moment (μB per formula unit) = 0.00
- D(E_F) (states/eV/atom) = 0.004

Compound: Ho3CoBi
Source: Alexandria via LeMat-Bulk
Functional: GGA-PBE
Structure: optimized geometry

Lattice parameters (Å, degrees): 5.1455 5.1455 5.1455 90.00 90.00 90.00
Atoms (fractional coordinates):
Ho  0.0000  0.5000  0.0000
Co  0.0000  0.0000  0.0000
Ho  0.0000  0.0000  0.5000
Bi  0.5000  0.5000  0.5000
Ho  0.5000  0.0000  0.0000

Summary:
- space group = No. 221
- energy above the lowest structure with this stoichiometry (meV/atom) = 89
- formation energy from the elements (meV/atom) = -360
- size of the total moment (μB per formula unit) = 0.00
- D(E_F) (states/eV/atom) = 0.514

Compound: MnTe2P
Source: Alexandria via LeMat-Bulk
Functional: GGA-PBE
Structure: optimized geometry

Lattice parameters (Å, degrees): 3.8337 3.8233 7.9597 90.00 90.00 90.00
Last column: magnetic moment on the atom in μB.
Atoms (fractional coordinates):
P  0.5000  0.0000  0.5000  0.01
Mn  0.5000  0.5000  0.0000  4.07
Te  0.0000  0.5000  0.5000  0.01
Te  0.0000  0.0000  0.0000  0.04

Summary:
- space group = No. 47
- E_form (uncorrected) (meV/atom) = 383
- size of the total moment (μB per formula unit) = 4.59
- D(E_F) (states/eV/atom) = 0.323

Compound: P2RuW
Source: Alexandria via LeMat-Bulk
Functional: GGA-PBE
Structure: optimized geometry

Lattice parameters (Å, degrees): 2.8609 2.8609 7.8154 90.00 90.00 90.00
Atoms (fractional coordinates):
P  0.5000  0.5000  0.3186
P  0.0000  0.0000  0.9481
W  0.5000  0.5000  0.7422
Ru  0.0000  0.0000  0.4911

Summary:
- space group = No. 99
- formation energy from the elements (meV/atom) = 2
- size of the total moment (μB per formula unit) = 0.00
- D(E_F) (states/eV/atom) = 0.650

Compound: V2Ru
Source: Alexandria via LeMat-Bulk
Functional: GGA-PBE
Structure: optimized geometry

Lattice parameters (Å, degrees): 5.1368 4.2869 8.9006 90.00 124.14 90.00
Atoms (fractional coordinates):
V  0.0000  0.0000  0.5000
V  0.5000  0.5000  0.0000
Ru  0.6792  0.5000  0.3416
V  0.1687  0.0000  0.8315
V  0.8313  0.0000  0.1685
V  0.8313  0.5000  0.6685
Ru  0.3208  0.0000  0.1584
V  0.5000  0.0000  0.5000
Ru  0.6792  0.0000  0.8416
V  0.1687  0.5000  0.3315
Ru  0.3208  0.5000  0.6584
V  0.0000  0.5000  0.0000

Summary:
- space group = No. 12
- formation energy from the elements (meV/atom) = -239
- size of the total moment (μB per formula unit) = 0.00
- D(E_F) (states/eV/atom) = 0.791

Compound: Er3AgPb
Source: Alexandria via LeMat-Bulk
Functional: GGA-PBE
Structure: optimized geometry

Lattice parameters (Å, degrees): 4.8914 4.6180 12.9062 100.26 112.21 89.93
Atoms (fractional coordinates):
Pb  0.8803  0.5650  0.1291
Er  0.6468  0.9492  0.8981
Er  0.0748  0.1617  0.3238
Ag  0.2469  0.7483  0.4966
Er  0.9252  0.8383  0.6762
Er  0.3532  0.0508  0.1019
Er  0.5862  0.6677  0.3355
Er  0.4138  0.3323  0.6645
Pb  0.1197  0.4350  0.8709
Ag  0.7531  0.2517  0.5034

Summary:
- space group = No. 2
- formation energy from the elements (meV/atom) = -300
- size of the total moment (μB per formula unit) = 0.00
- D(E_F) (states/eV/atom) = 1.035

Compound: LaPbNF2
Source: Alexandria via LeMat-Bulk
Functional: GGA-PBE
Structure: optimized geometry

Lattice parameters (Å, degrees): 4.6211 4.6211 4.5366 90.00 90.00 90.00
Last column: magnetic moment on the atom in μB.
Atoms (fractional coordinates):
La  0.5000  0.5000  0.5000  0.40
N  0.0000  0.0000  0.5000  0.00
F  0.5000  0.0000  0.0000  0.01
F  0.0000  0.5000  0.0000  0.01
Pb  0.0000  0.0000  0.0000  0.02

Summary:
- space group = No. 123
- energy above the lowest structure with this stoichiometry (meV/atom) = 565
- E_form (uncorrected) (meV/atom) = -1159
- size of the total moment (μB per formula unit) = 0.73
- D(E_F) (states/eV/atom) = 0.903

- The highest D(E_F) belongs to which entry?
  Ti12Ga6Ir

- Which of these has the lowest D(E_F)?
  Tl5GaO4

- Among the records above, which one has the highest size of the total moment?
  MnTe2P

Please write out number 8 again, unchanged.
Compound: V2Ru
Source: Alexandria via LeMat-Bulk
Functional: GGA-PBE
Structure: optimized geometry

Lattice parameters (Å, degrees): 5.1368 4.2869 8.9006 90.00 124.14 90.00
Atoms (fractional coordinates):
V  0.0000  0.0000  0.5000
V  0.5000  0.5000  0.0000
Ru  0.6792  0.5000  0.3416
V  0.1687  0.0000  0.8315
V  0.8313  0.0000  0.1685
V  0.8313  0.5000  0.6685
Ru  0.3208  0.0000  0.1584
V  0.5000  0.0000  0.5000
Ru  0.6792  0.0000  0.8416
V  0.1687  0.5000  0.3315
Ru  0.3208  0.5000  0.6584
V  0.0000  0.5000  0.0000

Summary:
- space group = No. 12
- formation energy from the elements (meV/atom) = -239
- size of the total moment (μB per formula unit) = 0.00
- D(E_F) (states/eV/atom) = 0.791